# 1
DFT (GGA-PBE) results for a relaxed Er4HgAu7 crystal.

Unit cell a=5.232 b=8.389 c=7.331 alpha=73.92 beta=69.09 gamma=71.83
Atoms (fractional coordinates):
Er 0.260 0.284 0.195
Er 0.740 0.716 0.805
Er 0.568 0.254 0.611
Er 0.432 0.746 0.389
Au 0.679 0.447 0.194
Au 0.500 0.000 0.000
Au 0.321 0.553 0.806
Au 0.185 0.061 0.569
Au 0.073 0.643 0.212
Au 0.815 0.939 0.431
Au 0.927 0.357 0.788
Hg 0.000 0.000 0.000

---

# 2
DFT (GGA-PBE) results for a relaxed Er12HgAu6 crystal.

Unit cell a=8.461 b=8.461 c=8.461 alpha=101.06 beta=101.06 gamma=101.06
Atoms (fractional coordinates):
Er 0.426 0.823 0.573
Er 0.327 0.065 0.927
Er 0.573 0.426 0.823
Er 0.927 0.327 0.065
Er 0.823 0.573 0.426
Er 0.574 0.177 0.427
Er 0.935 0.073 0.673
Er 0.427 0.574 0.177
Er 0.177 0.427 0.574
Er 0.673 0.935 0.073
Er 0.073 0.673 0.935
Er 0.065 0.927 0.327
Au 0.306 0.138 0.610
Au 0.694 0.862 0.390
Au 0.862 0.390 0.694
Au 0.390 0.694 0.862
Au 0.138 0.610 0.306
Au 0.610 0.306 0.138
Hg 0.000 0.000 0.000

---

# 3
DFT (GGA-PBE) results for a relaxed Er3Hg2Au2 crystal.

Unit cell a=3.928 b=3.612 c=11.985 alpha=90.00 beta=80.57 gamma=90.00
Atoms (fractional coordinates):
Au 0.709 0.500 0.583
Au 0.291 0.500 0.417
Hg 0.575 0.500 0.849
Hg 0.425 0.500 0.151
Er 0.157 0.000 0.685
Er 0.000 0.000 0.000
Er 0.843 0.000 0.315

---

How do the records compare in DFT formation energy? In the order shown, they have -0.60, -0.42, -0.62 eV per atom.
How do the records compare in M_tot? In the order shown, they have 0.00, 0.00, 0.00 μB per formula unit.